Version one
Crystalline Ag2AsPt2 at its relaxed geometry, computed with GGA-PBE.

## Properties
- Spin magnetization: 0.000 μB per cell
- Space-group type: P4/mbm

Cell lengths 7.939, 7.939, 2.867 Å; angles 90.00, 90.00, 90.00 degrees
Element x y z (fractional)
1 Ag 0.127 0.373 0.000
2 Ag 0.373 0.873 0.000
3 Ag 0.627 0.127 0.000
4 Ag 0.873 0.627 0.000
5 As 0.000 0.000 0.000
6 As 0.500 0.500 0.000
7 Pt 0.171 0.671 0.500
8 Pt 0.329 0.171 0.500
9 Pt 0.671 0.829 0.500
10 Pt 0.829 0.329 0.500

Version two
Crystalline Ag2AsPt2 at its relaxed geometry, computed with GGA-PBE.

## Properties
- Spin magnetization: 0.000 μB per cell
- Space-group type: I4/mmm

Cell lengths 7.542, 7.542, 7.542 Å; angles 151.72, 151.72, 40.43 degrees
Element x y z (fractional)
1 Ag 0.098 0.098 0.000
2 Ag 0.902 0.902 0.000
3 As 0.500 0.500 0.000
4 Pt 0.250 0.750 0.500
5 Pt 0.750 0.250 0.500

Version three
Crystalline Ag2AsPt2 at its relaxed geometry, computed with GGA-PBE.

## Properties
- Spin magnetization: 0.000 μB per cell
- Space-group type: P4/mbm

Cell lengths 6.468, 6.468, 4.355 Å; angles 90.00, 90.00, 90.00 degrees
Element x y z (fractional)
1 Ag 0.155 0.345 0.000
2 Ag 0.345 0.845 0.000
3 Ag 0.655 0.155 0.000
4 Ag 0.845 0.655 0.000
5 As 0.000 0.000 0.500
6 As 0.500 0.500 0.500
7 Pt 0.150 0.650 0.500
8 Pt 0.350 0.150 0.500
9 Pt 0.650 0.850 0.500
10 Pt 0.850 0.350 0.500

Least stable = version two

Version one
Crystalline SiAgAsPt2 at its relaxed geometry, computed with GGA-PBE.

## Properties
- Spin magnetization: 0.000 μB per cell
- Space-group type: P4/mmm

Cell lengths 4.560, 4.560, 4.742 Å; angles 90.00, 90.00, 90.00 degrees
Element x y z (fractional)
1 Si 0.000 0.000 0.000
2 Ag 0.500 0.500 0.500
3 As 0.000 0.000 0.500
4 Pt 0.000 0.500 0.000
5 Pt 0.500 0.000 0.000

Version two
Crystalline SiAgAsPt2 at its relaxed geometry, computed with GGA-PBE.

## Properties
- Spin magnetization: 0.000 μB per cell
- Space-group type: P4/mmm

Cell lengths 4.555, 4.555, 4.727 Å; angles 90.00, 90.00, 90.00 degrees
Element x y z (fractional)
1 Si 0.000 0.000 0.000
2 Ag 0.000 0.000 0.500
3 As 0.500 0.500 0.500
4 Pt 0.000 0.500 0.000
5 Pt 0.500 0.000 0.000

Least stable = version two

Version one
Crystalline Rb2AgAs2 at its relaxed geometry, computed with GGA-PBE.

## Properties
- Spin magnetization: 0.000 μB per cell
- Space-group type: P4/mbm

Cell lengths 7.111, 7.111, 5.735 Å; angles 90.00, 90.00, 90.00 degrees
Element x y z (fractional)
1 Rb 0.173 0.327 0.000
2 Rb 0.327 0.827 0.000
3 Rb 0.673 0.173 0.000
4 Rb 0.827 0.673 0.000
5 Ag 0.000 0.000 0.500
6 Ag 0.500 0.500 0.500
7 As 0.126 0.626 0.500
8 As 0.374 0.126 0.500
9 As 0.626 0.874 0.500
10 As 0.874 0.374 0.500

Version two
Crystalline Rb2AgAs2 at its relaxed geometry, computed with GGA-PBE.

## Properties
- Spin magnetization: 0.000 μB per cell
- Space-group type: I4/mmm

Cell lengths 11.113, 11.113, 11.113 Å; angles 159.83, 159.83, 28.67 degrees
Element x y z (fractional)
1 Rb 0.110 0.110 0.000
2 Rb 0.890 0.890 0.000
3 Ag 0.500 0.500 0.000
4 As 0.250 0.750 0.500
5 As 0.750 0.250 0.500

Least stable = version two

Version one
Crystalline RbAgAs at its relaxed geometry, computed with GGA-PBE.

## Properties
- Spin magnetization: 0.000 μB per cell
- Space-group type: Imm2

Cell lengths 6.911, 6.911, 6.911 Å; angles 139.76, 109.10, 84.80 degrees
Element x y z (fractional)
1 Rb 0.000 0.000 0.000
2 Rb 0.584 0.084 0.500
3 Ag 0.069 0.754 0.315
4 Ag 0.439 0.754 0.685
5 As 0.174 0.338 0.837
6 As 0.501 0.338 0.163

Version two
Crystalline RbAgAs at its relaxed geometry, computed with GGA-PBE.

## Properties
- Spin magnetization: 0.000 μB per cell
- Space-group type: P-1

Cell lengths 4.580, 5.080, 8.724 Å; angles 106.87, 103.61, 90.01 degrees
Element x y z (fractional)
1 Rb 0.122 0.381 0.262
2 Rb 0.878 0.619 0.738
3 Ag 0.460 0.204 0.909
4 Ag 0.540 0.796 0.091
5 As 0.297 0.035 0.573
6 As 0.703 0.965 0.427

Least stable = version two

Version one
Crystalline RbAgAs at its relaxed geometry, computed with GGA-PBE.

## Properties
- Spin magnetization: 0.000 μB per cell
- Space-group type: P1

Cell lengths 5.799, 5.802, 7.266 Å; angles 110.79, 110.80, 93.11 degrees
Element x y z (fractional)
1 Rb 0.000 0.000 0.000
2 Rb 0.359 0.360 0.684
3 Ag 0.057 0.712 0.362
4 Ag 0.647 0.302 0.322
5 As 0.388 0.605 0.208
6 As 0.754 0.971 0.477

Version two
Crystalline RbAgAs at its relaxed geometry, computed with GGA-PBE.

## Properties
- Spin magnetization: 0.141 μB per cell
- Space-group type: P-6m2

Cell lengths 4.430, 4.430, 5.529 Å; angles 90.00, 90.00, 120.00 degrees
Element x y z (fractional)
1 Rb 0.000 0.000 0.000
2 Ag 0.333 0.667 0.500
3 As 0.667 0.333 0.500

Least stable = version two

Version one
Crystalline RbAgAsSe2 at its relaxed geometry, computed with GGA-PBE.

## Properties
- Spin magnetization: 5.053 μB per cell
- Space-group type: P4/mmm

Cell lengths 6.219, 6.219, 6.452 Å; angles 90.00, 90.00, 90.00 degrees
Element x y z (fractional)
1 Rb 0.000 0.000 0.000
2 Ag 0.500 0.500 0.500
3 As 0.000 0.000 0.500
4 Se 0.000 0.500 0.000
5 Se 0.500 0.000 0.000

Version two
Crystalline RbAgAsSe2 at its relaxed geometry, computed with GGA-PBE.

## Properties
- Spin magnetization: 0.000 μB per cell
- Space-group type: Cmme

Cell lengths 9.160, 9.160, 4.892 Å; angles 90.00, 90.00, 129.30 degrees
Element x y z (fractional)
1 Rb 0.250 0.750 0.851
2 Rb 0.750 0.250 0.149
3 Ag 0.000 0.000 0.000
4 Ag 0.500 0.500 0.000
5 As 0.250 0.250 0.500
6 As 0.750 0.750 0.500
7 Se 0.109 0.891 0.369
8 Se 0.391 0.609 0.369
9 Se 0.609 0.391 0.631
10 Se 0.891 0.109 0.631

Least stable = version one

Version one
Crystalline ReAg3As at its relaxed geometry, computed with GGA-PBE.

## Properties
- Spin magnetization: 5.003 μB per cell
- Space-group type: Pm-3m

Cell lengths 4.920, 4.920, 4.920 Å; angles 90.00, 90.00, 90.00 degrees
Element x y z (fractional)
1 Re 0.000 0.000 0.000
2 Ag 0.000 0.500 0.500
3 Ag 0.500 0.000 0.500
4 Ag 0.500 0.500 0.000
5 As 0.500 0.500 0.500

Version two
Crystalline ReAg3As at its relaxed geometry, computed with GGA-PBE.

## Properties
- Spin magnetization: 1.316 μB per cell
- Space-group type: Pm-3m

Cell lengths 5.042, 5.042, 5.042 Å; angles 90.00, 90.00, 90.00 degrees
Element x y z (fractional)
1 Re 0.000 0.000 0.000
2 Ag 0.000 0.000 0.500
3 Ag 0.000 0.500 0.000
4 Ag 0.500 0.000 0.000
5 As 0.500 0.500 0.500

Least stable = version two

Version one
Crystalline AgAs2Rh2 at its relaxed geometry, computed with GGA-PBE.

## Properties
- Spin magnetization: 0.000 μB per cell
- Space-group type: I4/mmm

Cell lengths 6.337, 6.337, 6.337 Å; angles 143.57, 143.57, 52.48 degrees
Element x y z (fractional)
1 Ag 0.000 0.000 0.000
2 As 0.250 0.750 0.500
3 As 0.750 0.250 0.500
4 Rh 0.381 0.381 0.000
5 Rh 0.619 0.619 0.000

Version two
Crystalline AgAs2Rh2 at its relaxed geometry, computed with GGA-PBE.

## Properties
- Spin magnetization: 0.000 μB per cell
- Space-group type: I4/mmm

Cell lengths 5.758, 5.758, 5.758 Å; angles 136.90, 136.90, 62.60 degrees
Element x y z (fractional)
1 Ag 0.000 0.000 0.000
2 As 0.375 0.375 0.000
3 As 0.625 0.625 0.000
4 Rh 0.250 0.750 0.500
5 Rh 0.750 0.250 0.500

Least stable = version one